## w
## ZnTePt2 (GGA-PBE)

Data for a relaxed ZnTePt2 crystal.

Cell: 4.1820 4.1820 6.3582 Å, 81.75 81.75 41.99°
Element x y z (fractional)
Pt 0.9873 0.9873 0.0445
Pt 0.5127 0.5127 0.4555
Te 0.7500 0.7500 0.7500
Zn 0.2500 0.2500 0.2500

Results
Magnetic moment   0.000 μB per atom
Symmetry   No. 12

***

## x
## ZnTePt2 (GGA-PBE)

Data for a relaxed ZnTePt2 crystal.

Cell: 3.1766 3.1766 6.9562 Å, 90.00 90.00 89.97°
Element x y z (fractional)
Pt 0.0000 0.0000 0.9622
Pt 0.0000 0.0000 0.5378
Zn 0.5000 0.5000 0.7500
Te 0.5000 0.5000 0.2500

Results
Magnetic moment   0.000 μB per atom
Symmetry   No. 123

***

## y
## ZnTePt2 (GGA-PBE)

Data for a relaxed ZnTePt2 crystal.

Cell: 8.3626 8.3626 8.3626 Å, 22.04 22.04 22.04°
Element x y z (fractional)
Te 0.2500 0.2500 0.2500
Pt 0.4940 0.4940 0.4940
Pt 0.0060 0.0060 0.0060
Zn 0.7500 0.7500 0.7500

Results
Magnetic moment   0.000 μB per atom
Symmetry   No. 166

***

w wins, 38 meV per atom ahead of the next structure.

***

## w
## ZnTePt (GGA-PBE)

Data for a relaxed ZnTePt crystal.

Cell: 4.4664 4.4664 4.4664 Å, 60.00 60.00 60.00°
Element x y z (fractional)
Pt 0.2500 0.2500 0.2500
Zn 0.5000 0.5000 0.5000
Te 0.0000 0.0000 0.0000

Results
Magnetic moment   0.000 μB per atom
Symmetry   No. 216

***

## x
## ZnTePt (GGA-PBE)

Data for a relaxed ZnTePt crystal.

Cell: 3.7700 3.7677 10.3650 Å, 90.00 90.00 120.02°
Element x y z (fractional)
Te 0.7782 0.5565 0.3353
Te 0.7782 0.5565 0.6647
Pt 0.4445 0.8890 0.5000
Pt 0.4442 0.8884 0.0000
Zn 0.1107 0.2215 0.8663
Zn 0.1107 0.2215 0.1337

Results
Magnetic moment   0.000 μB per atom
Symmetry   No. 187

***

## y
## ZnTePt (GGA-PBE)

Data for a relaxed ZnTePt crystal.

Cell: 6.5707 6.5714 3.1245 Å, 76.23 76.26 27.51°
Element x y z (fractional)
Te 0.3447 0.3447 0.6553
Zn 0.6332 0.6332 0.3668
Pt 0.0221 0.0221 0.9779

Results
Magnetic moment   0.000 μB per atom
Symmetry   No. 107

***

w wins, 244 meV per atom ahead of the next structure.

***

## w
## ZrTe3Pt (GGA-PBE)

Data for a relaxed ZrTe3Pt crystal.

Cell: 5.4952 5.4952 5.4952 Å, 90.00 90.00 90.00°
Element x y z (fractional)
Te 0.0000 0.0000 0.5000
Te 0.5000 0.0000 0.0000
Te 0.0000 0.5000 0.0000
Pt 0.5000 0.5000 0.5000
Zr 0.0000 0.0000 0.0000

Results
Magnetic moment   0.000 μB per atom
Symmetry   No. 221

***

## x
## ZrTe3Pt (GGA-PBE)

Data for a relaxed ZrTe3Pt crystal.

Cell: 5.2399 5.2399 5.2399 Å, 90.00 90.00 90.00°
Element x y z (fractional)
Te 0.5000 0.0000 0.0000
Te 0.0000 0.5000 0.0000
Te 0.0000 0.0000 0.5000
Zr 0.5000 0.5000 0.5000
Pt 0.0000 0.0000 0.0000

Results
Magnetic moment   0.001 μB per atom
Symmetry   No. 221

***

x wins, 228 meV per atom ahead of the next structure.

***

## w
## ZrTePt3 (GGA-PBE)

Data for a relaxed ZrTePt3 crystal.

Cell: 4.9051 4.9051 4.9051 Å, 90.00 90.00 90.00°
Site moments in Bohr magnetons follow the coordinates.
Element x y z (fractional)
Te 0.0000 0.0000 0.0000  0.01
Pt 0.0000 0.5000 0.0000  0.02
Pt 0.5000 0.0000 0.0000  0.00
Pt 0.0000 0.0000 0.5000  0.04
Zr 0.5000 0.5000 0.5000  0.69

Results
Magnetic moment   0.240 μB per atom
Symmetry   No. 221

***

## x
## ZrTePt3 (GGA-PBE)

Data for a relaxed ZrTePt3 crystal.

Cell: 4.9889 4.9889 4.9889 Å, 90.00 90.00 90.00°
Element x y z (fractional)
Pt 0.5000 0.0000 0.0000
Pt 0.0000 0.5000 0.0000
Pt 0.0000 0.0000 0.5000
Zr 0.0000 0.0000 0.0000
Te 0.5000 0.5000 0.5000

Results
Magnetic moment   0.000 μB per atom
Symmetry   No. 221

***

w wins, 178 meV per atom ahead of the next structure.

***

## w
## ThPt6 (GGA-PBE)

Data for a relaxed ThPt6 crystal.

Cell: 5.4200 9.6741 9.6335 Å, 90.00 90.00 90.00°
Element x y z (fractional)
Pt 0.2500 0.9437 0.5000
Pt 0.5000 0.0000 0.7483
Pt 0.0000 0.5000 0.2483
Pt 0.0000 0.0000 0.7483
Pt 0.2500 0.4437 0.0000
Pt 0.7500 0.4654 0.5000
Pt 0.2500 0.7463 0.2987
Pt 0.2500 0.0346 0.0000
Pt 0.5000 0.0000 0.2517
Pt 0.7500 0.9654 0.0000
Pt 0.2500 0.5346 0.5000
Pt 0.0000 0.0000 0.2517
Pt 0.7500 0.2537 0.7013
Pt 0.2500 0.2463 0.7986
Pt 0.7500 0.5563 0.0000
Pt 0.7500 0.7537 0.2014
Pt 0.2500 0.7463 0.7014
Pt 0.7500 0.2537 0.2986
Pt 0.5000 0.5000 0.2483
Pt 0.7500 0.7537 0.7987
Pt 0.2500 0.2463 0.2013
Pt 0.0000 0.5000 0.7517
Pt 0.5000 0.5000 0.7517
Pt 0.7500 0.0563 0.5000
Th 0.7500 0.7579 0.5000
Th 0.2500 0.2421 0.5000
Th 0.2500 0.7421 0.0000
Th 0.7500 0.2579 0.0000

Results
Magnetic moment   0.000 μB per atom
Symmetry   No. 63

***

## x
## ThPt6 (GGA-PBE)

Data for a relaxed ThPt6 crystal.

Cell: 6.0317 6.0317 6.0317 Å, 90.00 90.00 90.00°
Site moments in Bohr magnetons follow the coordinates.
Element x y z (fractional)
Th 0.0000 0.0000 0.0000  0.65
Pt 0.5000 0.5000 0.8051  0.03
Pt 0.5000 0.5000 0.1949  0.03
Pt 0.8051 0.5000 0.5000  0.03
Pt 0.5000 0.8051 0.5000  0.03
Pt 0.5000 0.1949 0.5000  0.03
Pt 0.1949 0.5000 0.5000  0.03

Results
Magnetic moment   0.143 μB per atom
Symmetry   No. 221

***

w wins, 1835 meV per atom ahead of the next structure.

***

## w
## Tm2ThPt (GGA-PBE)

Data for a relaxed Tm2ThPt crystal.

Cell: 3.7325 3.7325 9.6547 Å, 78.85 78.85 60.00°
Element x y z (fractional)
Tm 0.7290 0.7290 0.8130
Tm 0.2710 0.2710 0.1870
Th 0.5000 0.5000 0.5000
Pt 0.0000 0.0000 0.0000

Results
Magnetic moment   0.000 μB per atom
Symmetry   No. 166

***

## x
## Tm2ThPt (GGA-PBE)

Data for a relaxed Tm2ThPt crystal.

Cell: 3.5060 3.5060 8.3801 Å, 90.00 90.00 90.00°
Element x y z (fractional)
Th 0.5000 0.5000 0.5000
Tm 0.0000 0.0000 0.1956
Tm 0.0000 0.0000 0.8044
Pt 0.5000 0.5000 0.0000

Results
Magnetic moment   0.000 μB per atom
Symmetry   No. 123

***

x wins, 147 meV per atom ahead of the next structure.